1.
# GdWS2

An optimized crystal structure of GdWS2 (GGA-PBE, the Alexandria database).

It has space group R-3m (No. 166, hexagonal axes), with a = 3.2929 Å, b = 3.2929 Å, c = 26.2413 Å, α = 90.00°, β = 90.00° and γ = 120.00°. The asymmetric unit holds Gd at (0.0000, 0.0000, 0.0000), W at (0.0000, 0.0000, 0.5000) and S at (0.0000, 0.0000, 0.1069).

The calculation puts the energy relative to the elements, uncorrected at -40.07 kJ/mol of atoms. For the total moment, the calculation gives 23.64 μB per cell.

---

2.
# Cu2MoSe

An optimized crystal structure of Cu2MoSe (GGA-PBE, the Alexandria database).

It has space group C2/m (No. 12), with a = 10.048 Å, b = 2.997 Å, c = 4.216 Å, α = 90.00°, β = 114.68° and γ = 90.00°. The asymmetric unit holds Cu at (0.238, 0.000, 0.238), Mo at (0.000, 0.000, 0.500) and Se at (0.000, 0.500, 0.000).

The calculation puts the energy relative to the elements, uncorrected at 29.79 kJ/mol of atoms. For the total moment, the calculation gives 0.00 μB per cell.

---

3.
# NbGeSb2Te

An optimized crystal structure of NbGeSb2Te (GGA-PBE, the Alexandria database).

It has space group P4/mmm (No. 123), with a = 5.199 Å, b = 5.199 Å, c = 5.247 Å, α = 90.00°, β = 90.00° and γ = 90.00°. The asymmetric unit holds Nb at (0.000, 0.000, 0.000), Ge at (0.500, 0.500, 0.500), Sb at (0.000, 0.500, 0.500) and Te at (0.500, 0.500, 0.000).

The calculation puts the energy relative to the elements, uncorrected at 107.44 kJ/mol of atoms. For the total moment, the calculation gives 0.10 μB per cell.

---

4.
# LiCdPb2

An optimized crystal structure of LiCdPb2 (GGA-PBE, the Alexandria database).

It has space group Cm (No. 8), with a = 11.335 Å, b = 3.514 Å, c = 5.504 Å, α = 90.00°, β = 110.82° and γ = 90.00°. The asymmetric unit holds Li at (0.000, 0.000, 0.000), Cd at (0.213, 0.500, 0.313), Pb at (0.257, 0.000, 0.857) and Pb at (0.478, 0.000, 0.496).

The formation enthalpy at 0 K comes out at -0.0984 eV/atom. For the total moment, the calculation gives 0.00 μB per cell.

---

5.
# BaSrMg2

An optimized crystal structure of BaSrMg2 (GGA-PBE, the Alexandria database).

It has space group Fm-3m (No. 225), with a = 8.550 Å, b = 8.550 Å, c = 8.550 Å, α = 90.00°, β = 90.00° and γ = 90.00°. The asymmetric unit holds Ba at (0.000, 0.000, 0.000), Sr at (0.000, 0.000, 0.500) and Mg at (0.250, 0.250, 0.250).

The formation enthalpy at 0 K comes out at -0.0596 eV/atom. For the total moment, the calculation gives 0.00 μB per cell.

---

6.
# Sc2TlPt

An optimized crystal structure of Sc2TlPt (GGA-PBE, the Alexandria database).

It has space group Imm2 (No. 44), with a = 3.434 Å, b = 4.656 Å, c = 10.709 Å, α = 90.00°, β = 90.00° and γ = 90.00°. The asymmetric unit holds Sc at (0.000, 0.000, 0.000), Sc at (0.000, 0.500, 0.211), Tl at (0.000, 0.500, 0.788) and Pt at (0.000, 0.000, 0.516).

The formation enthalpy at 0 K comes out at -0.6184 eV/atom. For the total moment, the calculation gives 0.00 μB per cell.

---

7.
# Tb5Ho6Tm

An optimized crystal structure of Tb5Ho6Tm (GGA-PBE, the Alexandria database).

It has space group C2/m (No. 12), with a = 6.114 Å, b = 10.579 Å, c = 11.690 Å, α = 90.00°, β = 99.98° and γ = 90.00°. The asymmetric unit holds Tb at (0.000, 0.000, 0.000), Tb at (0.000, 0.167, 0.500), Tb at (0.000, 0.333, 0.000), Ho at (0.249, 0.334, 0.749), Ho at (0.250, 0.000, 0.749) and Tm at (0.000, 0.500, 0.500).

The formation enthalpy at 0 K comes out at 0.0172 eV/atom. For the total moment, the calculation gives 0.00 μB per cell.